Entry 1:
{
  "formula": "YPt3Cl",
  "functional": "PBE",
  "state": "optimized geometry",
  "lattice": [[-4.4088, -1.4494, 0.4795], [0.4440, -2.6195, -3.8352], [1.4606, -3.5785, 2.6133]],
  "species": ["Y", "Pt", "Pt", "Pt", "Cl"],
  "frac_coords": [[0.5000, 0.5000, 0.5000], [0.0000, 0.5000, 0.0000], [0.0000, 0.0000, 0.5000], [0.5000, 0.0000, 0.0000], [0.0000, 0.0000, 0.0000]],
  "mass_density_g_cm3": 11.60,
  "final_energy_ev_per_atom": -5.1191,
  "de_polymorph_mev_per_atom": 0
}

=====

Entry 2:
{
  "formula": "ZrAl2W",
  "functional": "PBE",
  "state": "optimized geometry",
  "lattice": [[3.4487, 0.0000, 0.0000], [0.0000, 3.4487, 0.0000], [0.0000, 0.0000, 5.9898]],
  "species": ["Zr", "W", "Al", "Al"],
  "frac_coords": [[0.5000, 0.5000, 0.7294], [0.0000, 0.0000, 0.4923], [0.0000, 0.0000, 0.0231], [0.5000, 0.5000, 0.2551]],
  "mass_density_g_cm3": 7.67,
  "ef_ev_per_atom": -0.04,
  "final_energy_ev_per_atom": -7.2915,
  "de_polymorph_mev_per_atom": 139
}

=====

Entry 3:
{
  "formula": "Pm12Tm2In",
  "functional": "PBE",
  "state": "optimized geometry",
  "lattice": [[6.6607, 0.0000, 0.0000], [0.0000, 6.6607, 0.0000], [0.0000, 0.0000, 23.7649]],
  "species": ["Pm", "Pm", "Pm", "Pm", "Pm", "Pm", "Pm", "Pm", "Pm", "Pm", "Pm", "Pm", "Pm", "Pm", "Pm", "Pm", "Pm", "Pm", "Pm", "Pm", "Pm", "Pm", "Pm", "Pm", "Tm", "Tm", "Tm", "Tm", "In", "In"],
  "frac_coords": [[0.5000, 0.5000, 0.7992], [0.0000, 0.0000, 0.7992], [0.7530, 0.7470, 0.9078], [0.2530, 0.7530, 0.9078], [0.0000, 0.0000, 0.3281], [0.2470, 0.7470, 0.0922], [0.8333, 0.3333, 0.5657], [0.5000, 0.5000, 0.3281], [0.2470, 0.2530, 0.9078], [0.7470, 0.7530, 0.0922], [0.3333, 0.1667, 0.5657], [0.6667, 0.1667, 0.4343], [0.0000, 0.0000, 0.6719], [0.1667, 0.3333, 0.4343], [0.2530, 0.2470, 0.0922], [0.8333, 0.6667, 0.4343], [0.6667, 0.8333, 0.5657], [0.0000, 0.0000, 0.2008], [0.1667, 0.6667, 0.5657], [0.5000, 0.5000, 0.6719], [0.7470, 0.2470, 0.9078], [0.5000, 0.5000, 0.2008], [0.3333, 0.8333, 0.4343], [0.7530, 0.2530, 0.0922], [0.5000, 0.0000, 0.2544], [0.0000, 0.5000, 0.2544], [0.0000, 0.5000, 0.7456], [0.5000, 0.0000, 0.7456], [0.5000, 0.0000, 0.0000], [0.0000, 0.5000, 0.0000]],
  "mass_density_g_cm3": 6.91,
  "ef_ev_per_atom": 0.25,
  "final_energy_ev_per_atom": -4.3334
}

=====

Entry 4:
{
  "formula": "NaNd3Ir8",
  "functional": "PBE",
  "state": "optimized geometry",
  "lattice": [[5.1753, 0.0000, 1.5623], [2.3519, 4.6101, 1.5623], [-0.0048, -0.0030, 9.3691]],
  "species": ["Na", "Nd", "Nd", "Nd", "Ir", "Ir", "Ir", "Ir", "Ir", "Ir", "Ir", "Ir"],
  "frac_coords": [[0.8738, 0.8738, 0.3787], [0.3759, 0.3759, 0.8724], [0.9951, 0.9951, 0.0148], [0.5042, 0.5042, 0.4875], [0.9387, 0.4370, 0.1874], [0.4384, 0.9374, 0.6867], [0.4370, 0.4370, 0.1874], [0.9374, 0.9374, 0.6867], [0.1877, 0.1877, 0.4368], [0.6875, 0.6875, 0.9375], [0.4370, 0.9387, 0.1874], [0.9374, 0.4384, 0.6867]],
  "mass_density_g_cm3": 14.81,
  "ef_ev_per_atom": -0.51,
  "final_energy_ev_per_atom": -7.7154
}

=====

Entry 5:
{
  "formula": "ZrPdRu2Pt",
  "functional": "PBE",
  "state": "optimized geometry",
  "lattice": [[4.6880, 0.0000, 0.0000], [0.0000, 4.8585, 0.0000], [0.0000, 0.0000, 4.6880]],
  "species": ["Ru", "Ru", "Zr", "Pd", "Pt"],
  "frac_coords": [[0.0000, 0.0000, 0.5000], [0.5000, 0.0000, 0.0000], [0.0000, 0.5000, 0.0000], [0.0000, 0.0000, 0.0000], [0.5000, 0.5000, 0.5000]],
  "mass_density_g_cm3": 9.25,
  "ef_ev_per_atom": 1.36,
  "final_energy_ev_per_atom": -6.3107
}

=====

Entry 6:
{
  "formula": "YMnNi2",
  "functional": "PBE",
  "state": "optimized geometry",
  "lattice": [[-3.4766, -1.9431, 0.5881], [-0.3333, -3.8879, -0.9909], [0.1936, -3.1605, 4.2778]],
  "species": ["Mn", "Ni", "Ni", "Y"],
  "frac_coords": [[0.3118, 0.3118, 0.0630], [0.9814, 0.9814, 0.0551], [0.7013, 0.7013, 0.8939], [0.5055, 0.5055, 0.4879]],
  "mass_density_g_cm3": 6.44,
  "ef_ev_per_atom": -0.10,
  "final_energy_ev_per_atom": -6.8978,
  "de_polymorph_mev_per_atom": 132
}

=====

Entry 7:
{
  "formula": "Sr2PuIr2",
  "functional": "PBE",
  "state": "optimized geometry",
  "lattice": [[6.0783, 0.0395, 0.9244], [2.7046, 5.4436, 0.9244], [0.0529, 0.0330, 8.0797]],
  "species": ["Sr", "Sr", "Sr", "Sr", "Pu", "Pu", "Ir", "Ir", "Ir", "Ir"],
  "frac_coords": [[0.4772, 0.2260, 0.1450], [0.7740, 0.5228, 0.3550], [0.5228, 0.7740, 0.8550], [0.2260, 0.4772, 0.6450], [0.0907, 0.9093, 0.2500], [0.9093, 0.0907, 0.7500], [0.7145, 0.0010, 0.5082], [0.9990, 0.2855, 0.9918], [0.2855, 0.9990, 0.4918], [0.0010, 0.7145, 0.0082]],
  "mass_density_g_cm3": 10.03,
  "ef_ev_per_atom": -0.31,
  "final_energy_ev_per_atom": -7.3936
}

=====

Entry 8:
{
  "formula": "Al3RhC",
  "functional": "PBE",
  "state": "optimized geometry",
  "lattice": [[4.6647, 0.0000, 0.0000], [0.0000, 4.6647, 0.0000], [0.0000, 0.0000, 4.6647]],
  "species": ["C", "Rh", "Al", "Al", "Al"],
  "frac_coords": [[0.5000, 0.5000, 0.5000], [0.0000, 0.0000, 0.0000], [0.0000, 0.5000, 0.0000], [0.0000, 0.0000, 0.5000], [0.5000, 0.0000, 0.0000]],
  "mass_density_g_cm3": 3.20,
  "ef_ev_per_atom": 0.99,
  "final_energy_ev_per_atom": -4.5675,
  "de_polymorph_mev_per_atom": 1052
}

=====

Entry 9:
{
  "formula": "SiWN3",
  "functional": "PBE",
  "state": "optimized geometry",
  "lattice": [[-2.4079, 2.7781, -1.4628], [-2.3498, -0.3719, 3.1616], [2.0823, 2.7927, 1.8762]],
  "species": ["Si", "W", "N", "N", "N"],
  "frac_coords": [[0.5000, 0.5000, 0.5000], [0.0000, 0.0000, 0.0000], [0.0000, 0.5000, 0.0000], [0.0000, 0.0000, 0.5000], [0.5000, 0.0000, 0.0000]],
  "mass_density_g_cm3": 6.81,
  "final_energy_ev_per_atom": -7.9410
}

=====

Entry 10:
{
  "formula": "Tb3CePm",
  "functional": "PBE",
  "state": "optimized geometry",
  "lattice": [[11.0657, -0.0080, 0.0066], [0.0049, 8.5776, 1.9245], [-0.0043, -0.0996, 7.0251]],
  "species": ["Tb", "Tb", "Tb", "Tb", "Tb", "Tb", "Tb", "Tb", "Tb", "Tb", "Tb", "Tb", "Ce", "Ce", "Ce", "Ce", "Pm", "Pm", "Pm", "Pm"],
  "frac_coords": [[0.4413, 0.6499, 0.0856], [0.9964, 0.9991, 0.2541], [0.5587, 0.3501, 0.9144], [0.0036, 0.0009, 0.7459], [0.9413, 0.3501, 0.9144], [0.4964, 0.0009, 0.7459], [0.0587, 0.6499, 0.0856], [0.5036, 0.9991, 0.2541], [0.4397, 0.6540, 0.5843], [0.9397, 0.3460, 0.4157], [0.5603, 0.3460, 0.4157], [0.0603, 0.6540, 0.5843], [0.7500, 0.6919, 0.8200], [0.7500, 0.0587, 0.4893], [0.2500, 0.3081, 0.1800], [0.2500, 0.9413, 0.5107], [0.2500, 0.9458, 0.0251], [0.7500, 0.0542, 0.9749], [0.2500, 0.3063, 0.6779], [0.7500, 0.6937, 0.3221]],
  "mass_density_g_cm3": 7.57,
  "ef_ev_per_atom": 0.24,
  "final_energy_ev_per_atom": -4.6739
}